BaCrMo after structural relaxation, computed with PBE-GGA.

a b c (Å): 4.817 4.817 4.817
angles (deg): 60.00 60.00 60.00
Element x y z (fractional)
Ba1 0.000 0.000 0.000
Cr1 0.500 0.500 0.500
Mo1 0.750 0.750 0.750

Calculated values
ΔH_f (0 K)	1.46	eV per atom
M_tot	0.651	μB/atom
symmetry	No. 216
excess energy over the best structure of this formula in the dataset	624	meV/atom


BaCrMo2 after structural relaxation, computed with PBE-GGA.

a b c (Å): 4.858 4.858 4.858
angles (deg): 60.00 60.00 60.00
Element x y z (fractional)
Ba1 0.000 0.000 0.000
Cr1 0.750 0.750 0.750
Mo1 0.250 0.250 0.250
Mo2 0.500 0.500 0.500

Calculated values
ΔH_f (0 K)	1.31	eV per atom
M_tot	0.727	μB/atom
symmetry	No. 216
excess energy over the best structure of this formula in the dataset	552	meV/atom


BaCrMo2 after structural relaxation, computed with PBE-GGA.

a b c (Å): 3.048 3.048 8.637
angles (deg): 90.00 90.00 90.00
Element x y z (fractional)
Ba1 0.000 0.000 0.000
Cr1 0.000 0.000 0.500
Mo1 0.500 0.500 0.334
Mo2 0.500 0.500 0.666

Calculated values
ΔH_f (0 K)	0.83	eV per atom
M_tot	0.000	μB/atom
symmetry	No. 123
excess energy over the best structure of this formula in the dataset	67	meV/atom


Question: Look up the M_tot of the first one.
Answer: 0.651 μB/atom